Density functional theory data (PBE-GGA) for Tb2CeSm3As6 after structural relaxation.

a = 7.2510 Å, b = 12.5574 Å, c = 7.2588 Å
α = 90.00°, β = 109.45°, γ = 90.00°
Space group C2/m (No. 12)
Symmetry-distinct sites (fractional):
Tb 0.0000 0.1666 0.0000
Ce 0.0000 0.5000 0.0000
Sm 0.0000 0.0000 0.5000
Sm 0.0000 0.3334 0.5000
As 0.2485 0.0000 0.2450
As 0.2485 0.3334 0.2459

Properties
E_form = -1.521 eV/atom



Density functional theory data (PBE-GGA) for Ag3HgBr6 after structural relaxation.

a = 11.7083 Å, b = 16.0890 Å, c = 7.2247 Å
α = 90.00°, β = 90.00°, γ = 90.00°
Space group Cmc2_1 (No. 36)
Symmetry-distinct sites (fractional):
Ag 0.0000 0.0010 0.0000
Ag 0.1803 0.3537 0.9127
Hg 0.0000 0.2698 0.4965
Br 0.0000 0.2985 0.1454
Br 0.0000 0.4160 0.7201
Br 0.1570 0.0468 0.2512
Br 0.1762 0.2008 0.6777

Properties
Offset from the most stable computed form = 0.00 kJ per mole of atoms
Raw formation energy = -0.31 eV per atom



Density functional theory data (PBE-GGA) for MgCoSb2Te after structural relaxation.

a = 4.8034 Å, b = 4.8034 Å, c = 5.6854 Å
α = 90.00°, β = 90.00°, γ = 90.00°
Space group P4/mmm (No. 123)
Symmetry-distinct sites (fractional):
Mg 0.0000 0.0000 0.0000
Co 0.5000 0.5000 0.5000
Sb 0.0000 0.5000 0.5000
Te 0.5000 0.5000 0.0000

Properties
Offset from the most stable computed form = 0.00 kJ per mole of atoms
Raw formation energy = 0.22 eV per atom



Density functional theory data (PBE-GGA) for CoMo2As after structural relaxation.

a = 3.1588 Å, b = 4.2727 Å, c = 8.3364 Å
α = 90.00°, β = 90.00°, γ = 90.00°
Space group Imm2 (No. 44)
Symmetry-distinct sites (fractional):
Co 0.0000 0.0000 0.0000
Mo 0.0000 0.0000 0.5387
Mo 0.0000 0.5000 0.7630
As 0.0000 0.5000 0.2935

Properties
E_form = 0.013 eV/atom